The following is a PBEsol calculation of a geometry-optimized Sr2Pr2TlNi2O9 structure, from Alexandria via LeMat-Bulk.

For the calculated volume, the calculation gives 208 Å³ per cell. For the formation energy from raw total energies, the calculation gives -206.84 kJ/mol of atoms.

```
Sr2Pr2TlNi2O9
1.0
-0.6003 2.9068 2.2795
-0.9976 -2.3598 2.7280
14.9066 -0.9480 2.0718
Sr Pr Tl Ni O
2 2 1 2 9
Direct
0.4118 0.4202 0.8320
0.5798 0.5882 0.1680
0.2935 0.3015 0.5950
0.6985 0.7065 0.4050
0.9799 0.0201 0.0000
0.8529 0.8602 0.7131
0.1398 0.1471 0.2869
0.7789 0.7864 0.5654
0.2136 0.2211 0.4346
0.8464 0.3543 0.7012
0.3470 0.8548 0.7012
0.1452 0.6530 0.2988
0.6457 0.1536 0.2988
0.5237 0.4763 0.0000
0.9204 0.9231 0.8434
0.0769 0.0796 0.1566
```


The following is a PBEsol calculation of a geometry-optimized TcOsI2N structure, from Alexandria via LeMat-Bulk.

For the calculated volume, the calculation gives 99 Å³ per cell. For the formation energy from raw total energies, the calculation gives 126.55 kJ/mol of atoms.

```
TcOsI2N
1.0
-0.7572 -2.3860 2.5849
3.4520 -3.3512 -2.0823
3.7881 2.0416 2.9942
I Os Tc N
2 1 1 1
Direct
0.0000 0.0000 0.5000
0.0000 0.5000 0.0000
0.5000 0.5000 0.5000
0.0000 0.0000 0.0000
0.5000 0.0000 0.0000
```


The following is a PBEsol calculation of a geometry-optimized LaAsBr2 structure, from Alexandria via LeMat-Bulk.

For the calculated volume, the calculation gives 111 Å³ per cell. For the formation energy from raw total energies, the calculation gives -10.55 kJ/mol of atoms.

```
LaAsBr2
1.0
-1.2295 2.4422 -2.2389
-2.8309 -0.6987 -1.9965
-7.4471 4.2557 5.9424
As Br La
1 2 1
Direct
0.5000 0.5000 0.5000
0.9077 0.9077 0.2768
0.0923 0.0923 0.7232
0.0000 0.0000 0.0000
```


The following is a PBEsol calculation of a geometry-optimized Cs2KHg2 structure, from Alexandria via LeMat-Bulk.

For the energy of formation, the calculation gives -0.0742 eV per atom. The calculation puts the relative energy among the computed polymorphs at 0.019 eV per atom. For the calculated volume, the calculation gives 464 Å³ per cell.

```
Cs2KHg2
1.0
-1.7018 -0.2943 3.8528
9.5277 -1.5244 4.0921
1.1058 10.3436 1.2784
Cs K Hg
4 2 4
Direct
0.0000 0.3603 0.8603
0.0000 0.8603 0.6397
0.0000 0.6397 0.1397
0.0000 0.1397 0.3603
0.0000 0.0000 0.0000
0.0000 0.5000 0.5000
0.5000 0.1545 0.6545
0.5000 0.6545 0.8455
0.5000 0.8455 0.3455
0.5000 0.3455 0.1545
```


Number 1: energy -110.54 eV/f.u.. Number 2: energy -28.98 eV/f.u.. Number 3: energy -14.63 eV/f.u.. Number 4: energy -4.52 eV/f.u..